! Ba3Al2MoO8 PBE with a Hubbard U optimized geometry; values from VASP
! Total energy = -96.879 eV per cell
&SYSTEM
  ibrav = 0, nat = 14, ntyp = 4
/
ATOMIC_SPECIES
Ba 137.33 Ba.upf
Al 26.98 Al.upf
Mo 95.94 Mo.upf
O 16.00 O.upf
ATOMIC_POSITIONS angstrom
Ba 0.000 0.000 0.000
Ba 0.000 3.322 5.080
Ba 2.877 1.661 2.409
Al 0.000 3.322 1.766
Al 2.877 1.661 5.723
Mo 0.000 0.000 3.744
O 0.000 1.665 2.485
O -1.435 4.151 2.485
O 0.000 3.322 0.053
O 1.442 0.833 5.003
O 1.435 4.151 2.485
O 2.877 1.661 7.436
O 4.312 0.833 5.003
O 2.877 3.318 5.003
CELL_PARAMETERS angstrom
5.754 0.000 0.000
-2.877 4.983 0.000
0.000 0.000 7.489